--- a ---
# Mg2TaRh

An optimized crystal structure of Mg2TaRh (PBE, Alexandria via LeMat-Bulk).

abc: 9.713 9.713 9.713
angles: 17.55 17.55 17.55
Fractional positions:
Mg 0.003 0.003 0.003
Mg 0.240 0.240 0.240
Rh 0.498 0.498 0.498
Ta 0.758 0.758 0.758

Output
Magnetic moment = 0.00 μB/f.u.
SG = R3m
Volume = 72.7 Å³ per cell

=====

--- b ---
# Mg2TaRh

An optimized crystal structure of Mg2TaRh (PBE, Alexandria via LeMat-Bulk).

abc: 5.438 5.438 5.438
angles: 145.17 127.76 64.33
Fractional positions:
Mg 0.003 0.003 0.000
Mg 0.727 0.227 0.500
Rh 0.490 0.490 0.000
Ta 0.281 0.781 0.500

Output
Magnetic moment = 0.00 μB/f.u.
SG = Imm2
Volume = 71.7 Å³ per cell

=====

Most stable structure - a; separation to the second - 43 meV/atom.